DFT (PBE) results for a geometry-optimized CsRbAu2Se2 structure.

Unit cell a=7.0386 b=5.5758 c=5.5758 alpha=78.75 beta=90.00 gamma=90.00
Closest atoms and distances in Å follow each position.
Element x y z (fractional)
Au (0.2506, 0.0017, 0.0017)  2 Se 2.46
Au (0.7494, 0.0017, 0.0017)  2 Se 2.46
Cs (0.0000, 0.6282, 0.6282)  5 Se 3.59-3.82, 2 Au 3.67
Rb (0.5000, 0.3652, 0.3652)  5 Se 3.58-3.79, 2 Au 3.59
Se (0.0000, 0.2013, 0.2013)  2 Au 2.46
Se (0.5000, 0.8019, 0.8019)  2 Au 2.46

## Properties
V = 35.77 A^3/atom
VASP energy = -3.320 eV per atom

DFT (PBE) results for a geometry-optimized MgGaCoIr structure.

Unit cell a=4.2551 b=4.2551 c=4.2551 alpha=60.00 beta=60.00 gamma=60.00
Closest atoms and distances in Å follow each position.
Element x y z (fractional)
Co (0.7500, 0.7500, 0.7500)  4 Ga 2.61, 4 Mg 2.61
Ga (0.0000, 0.0000, 0.0000)  4 Co 2.61, 4 Ir 2.61
Ir (0.2500, 0.2500, 0.2500)  4 Mg 2.61, 4 Ga 2.61
Mg (0.5000, 0.5000, 0.5000)  4 Co 2.61, 4 Ir 2.61

## Properties
Offset from the most stable computed form = 0 meV/atom
V = 13.62 A^3/atom
VASP energy = -5.434 eV per atom

DFT (PBE) results for a geometry-optimized DyErIr structure.

Unit cell a=4.6810 b=4.6810 c=4.6810 alpha=60.00 beta=60.00 gamma=60.00
Closest atoms and distances in Å follow each position.
Element x y z (fractional)
Dy (0.2500, 0.2500, 0.2500)  4 Er 2.87
Er (0.0000, 0.0000, 0.0000)  4 Dy 2.87, 4 Ir 2.87
Ir (0.7500, 0.7500, 0.7500)  4 Er 2.87

## Properties
ΔH_f (0 K) = 0.159 eV per atom
Offset from the most stable computed form = 915 meV/atom
V = 24.18 A^3/atom
VASP energy = -5.847 eV per atom

DFT (PBE) results for a geometry-optimized LiSmPdS3 structure.

Unit cell a=6.6430 b=6.6430 c=10.3834 alpha=90.00 beta=90.00 gamma=146.30
Closest atoms and distances in Å follow each position.
Element x y z (fractional)
Li (0.2816, 0.7184, 0.2500)  6 S 2.72-2.97
Li (0.7184, 0.2816, 0.7500)  6 S 2.72-2.97
Pd (0.9935, 0.0065, 0.2500)  4 S 2.39-2.40
Pd (0.0065, 0.9935, 0.7500)  4 S 2.39-2.40
S (0.8576, 0.1424, 0.0895)  1 Pd 2.40
S (0.6042, 0.3958, 0.2500)  2 Pd 2.39
S (0.8576, 0.1424, 0.4105)  1 Pd 2.40
S (0.1424, 0.8576, 0.5895)  1 Pd 2.40
S (0.3958, 0.6042, 0.7500)  2 Pd 2.39
S (0.1424, 0.8576, 0.9105)  1 Pd 2.40
Sm (0.5000, 0.5000, 0.0000)  6 S 2.80-2.91
Sm (0.5000, 0.5000, 0.5000)  6 S 2.80-2.91

## Properties
V = 21.19 A^3/atom
VASP energy = -5.118 eV per atom

DFT (PBE) results for a geometry-optimized BeFeSbMo structure.

Unit cell a=4.2811 b=4.2811 c=4.2811 alpha=60.00 beta=60.00 gamma=60.00
Closest atoms and distances in Å follow each position.
Element x y z (fractional)
Be (0.2500, 0.2500, 0.2500)  4 Mo 2.62, 4 Sb 2.62
Fe (0.7500, 0.7500, 0.7500)  4 Sb 2.62, 4 Mo 2.62
Mo (0.5000, 0.5000, 0.5000)  4 Be 2.62, 4 Fe 2.62
Sb (0.0000, 0.0000, 0.0000)  4 Fe 2.62, 4 Be 2.62

## Properties
Offset from the most stable computed form = 47 meV/atom
V = 13.87 A^3/atom
VASP energy = -6.336 eV per atom

DFT (PBE) results for a geometry-optimized InReHg3O4 structure.

Unit cell a=5.5526 b=5.5526 c=5.5526 alpha=90.00 beta=90.00 gamma=90.00
Closest atoms and distances in Å follow each position.
Element x y z (fractional)
Hg (0.5000, 0.5000, 0.0000)  4 O 2.38
Hg (0.5000, 0.0000, 0.5000)  4 O 2.38
Hg (0.0000, 0.5000, 0.5000)  4 O 2.38
In (0.0000, 0.0000, 0.0000)  4 O 2.47
O (0.2569, 0.2569, 0.2569)  1 Re 2.34, 3 Hg 2.38, 1 In 2.47
O (0.7431, 0.7431, 0.2569)  1 Re 2.34, 3 Hg 2.38, 1 In 2.47
O (0.7431, 0.2569, 0.7431)  1 Re 2.34, 3 Hg 2.38, 1 In 2.47
O (0.2569, 0.7431, 0.7431)  1 Re 2.34, 3 Hg 2.38, 1 In 2.47
Re (0.5000, 0.5000, 0.5000)  4 O 2.34

## Properties
V = 19.02 A^3/atom
VASP energy = -3.745 eV per atom

DFT (PBE) results for a geometry-optimized HfTaFe2 structure.

Unit cell a=4.3912 b=4.3912 c=4.3912 alpha=60.00 beta=60.00 gamma=60.00
Closest atoms and distances in Å follow each position.
Element x y z (fractional)
Fe (0.0000, 0.0000, 0.0000)  4 Ta 2.69, 4 Fe 2.69
Fe (0.2500, 0.2500, 0.2500)  4 Hf 2.69, 4 Fe 2.69
Hf (0.5000, 0.5000, 0.5000)  4 Fe 2.69, 4 Ta 2.69
Ta (0.7500, 0.7500, 0.7500)  4 Fe 2.69, 4 Hf 2.69

## Properties
ΔH_f (0 K) = 0.105 eV per atom
V = 14.97 A^3/atom
VASP energy = -9.501 eV per atom

DFT (PBE) results for a geometry-optimized CsCuBiSe3 structure.

Unit cell a=8.2387 b=8.2387 c=11.2838 alpha=90.00 beta=90.00 gamma=150.62
Closest atoms and distances in Å follow each position.
Element x y z (fractional)
Bi (0.0000, 0.0000, 0.0000)  6 Se 2.91-2.93
Bi (0.0000, 0.0000, 0.5000)  6 Se 2.91-2.93
Cs (0.7385, 0.2615, 0.2500)  8 Se 3.72-4.00, 2 Cu 4.09
Cs (0.2615, 0.7385, 0.7500)  8 Se 3.72-4.00, 2 Cu 4.09
Cu (0.4590, 0.5410, 0.2500)  4 Se 2.46-2.50
Cu (0.5410, 0.4590, 0.7500)  4 Se 2.46-2.50
Se (0.3791, 0.6209, 0.0632)  1 Cu 2.46
Se (0.0455, 0.9544, 0.2500)  2 Cu 2.50
Se (0.3791, 0.6209, 0.4368)  1 Cu 2.46
Se (0.6209, 0.3791, 0.5632)  1 Cu 2.46
Se (0.9544, 0.0455, 0.7500)  2 Cu 2.50
Se (0.6209, 0.3791, 0.9368)  1 Cu 2.46

## Properties
V = 31.31 A^3/atom
VASP energy = -3.687 eV per atom

DFT (PBE) results for a geometry-optimized KZnGa6 structure.

Unit cell a=4.5867 b=4.5867 c=8.0293 alpha=90.00 beta=90.00 gamma=90.00
Closest atoms and distances in Å follow each position.
Element x y z (fractional)
Ga (0.5000, 0.5000, 0.1617)  5 Ga 2.60-2.66
Ga (0.5000, 0.0000, 0.3298)  3 Ga 2.66-2.73, 2 Zn 2.67
Ga (0.0000, 0.5000, 0.3298)  3 Ga 2.66-2.73, 2 Zn 2.67
Ga (0.5000, 0.0000, 0.6702)  3 Ga 2.66-2.73, 2 Zn 2.67
Ga (0.0000, 0.5000, 0.6702)  3 Ga 2.66-2.73, 2 Zn 2.67
Ga (0.5000, 0.5000, 0.8383)  5 Ga 2.60-2.66
K (0.0000, 0.0000, 0.0000)  16 Ga 3.49-3.50
Zn (0.0000, 0.0000, 0.5000)  8 Ga 2.67

## Properties
V = 21.12 A^3/atom
VASP energy = -2.680 eV per atom

DFT (PBE) results for a geometry-optimized ZnFe2 structure.

Unit cell a=7.7253 b=7.7253 c=7.7253 alpha=60.00 beta=60.00 gamma=60.00
Closest atoms and distances in Å follow each position.
Element x y z (fractional)
Fe (0.3750, 0.8750, 0.3750)  2 Zn 2.37
Fe (0.8750, 0.3750, 0.3750)  2 Zn 2.37
Fe (0.3750, 0.3750, 0.3750)  2 Zn 2.37
Fe (0.3750, 0.3750, 0.8750)  2 Zn 2.37
Zn (0.2500, 0.2500, 0.2500)  4 Fe 2.37
Zn (0.5000, 0.5000, 0.5000)  4 Fe 2.37

## Properties
ΔH_f (0 K) = 2.382 eV per atom
V = 54.33 A^3/atom
VASP energy = -3.579 eV per atom

DFT (PBE) results for a geometry-optimized DyHoAl2I2 structure.

Unit cell a=4.2791 b=4.2791 c=12.0835 alpha=90.00 beta=90.00 gamma=120.00
Closest atoms and distances in Å follow each position.
Element x y z (fractional)
Al (0.6667, 0.3333, 0.4838)  3 Al 2.50
Al (0.3333, 0.6667, 0.5173)  3 Al 2.50
Dy (0.0000, 0.0000, 0.3322)  6 Al 3.08-3.33, 3 I 3.15
Ho (0.0000, 0.0000, 0.6678)  6 Al 3.07-3.32, 3 I 3.14
I (0.3333, 0.6667, 0.1703)  3 Dy 3.15
I (0.6667, 0.3333, 0.8285)  3 Ho 3.14

## Properties
V = 31.94 A^3/atom
VASP energy = -4.168 eV per atom

DFT (PBE) results for a geometry-optimized HAu2 structure.

Unit cell a=5.8836 b=5.8836 c=5.8836 alpha=60.00 beta=60.00 gamma=60.00
Closest atoms and distances in Å follow each position.
Element x y z (fractional)
Au (0.3750, 0.3750, 0.3750)  2 H 1.80
Au (0.8750, 0.3750, 0.3750)  2 H 1.80
Au (0.3750, 0.8750, 0.3750)  2 H 1.80
Au (0.3750, 0.3750, 0.8750)  2 H 1.80
H (0.2500, 0.2500, 0.2500)  4 Au 1.80
H (0.5000, 0.5000, 0.5000)  4 Au 1.80

## Properties
V = 24.00 A^3/atom
VASP energy = -2.747 eV per atom